Below is a geometry-optimized DyPuGe2O8 structure, with properties calculated at the PBE-GGA level.

Structure (CIF):
```
data_DyPuGe2O8
_cell_length_a 7.048
_cell_length_b 7.048
_cell_length_c 6.455
_cell_angle_alpha 90.00
_cell_angle_beta 90.00
_cell_angle_gamma 90.00
_space_group_name_H-M_alt 'I -4 m 2'
_space_group_IT_number 119
_space_group_name_Hall 'I -4 -2'
loop_
_atom_site_label
_atom_site_type_symbol
_atom_site_fract_x
_atom_site_fract_y
_atom_site_fract_z
Dy1 Dy 0.000 0.000 0.000
Pu1 Pu 0.000 0.500 0.250
Ge1 Ge 0.000 0.000 0.500
Ge2 Ge 0.000 0.500 0.750
O1 O 0.000 0.188 0.318
O2 O 0.000 0.319 0.939
```

ΔE_f (raw), eV per formula unit: -28.0
DOS(E_F), states/eV/cell: 12.45